First-principles (PBE-GGA) data for crystalline Ba12NaHg5 at its relaxed geometry, as listed in Alexandria via LeMat-Bulk.

## Properties
- N(E_F) (states/eV/atom) = 1.4593
- total magnetization (μB per formula unit) = 0.00
- DFT formation energy (eV/atom) = -0.278

Cell: 10.4634 10.4634 10.4634 Å, 103.07 115.26 110.31°
Closest atoms and distances in Å follow each position.
Sites, in units of the cell vectors:
Ba: 0.5467 0.8275 0.7192  4 Hg 3.61-3.76
Ba: 0.4533 0.1725 0.2808  4 Hg 3.61-3.76
Ba: 0.8917 0.1725 0.7192  4 Hg 3.61-3.76
Ba: 0.1083 0.8275 0.2808  4 Hg 3.61-3.76
Ba: 0.6889 0.6671 0.3560  3 Hg 3.41-3.59
Ba: 0.3111 0.3329 0.6440  3 Hg 3.41-3.59
Ba: 0.3111 0.6671 0.9782  3 Hg 3.41-3.59
Ba: 0.6889 0.3329 0.0218  3 Hg 3.41-3.59
Ba: 0.8136 0.5893 0.7757  2 Hg 3.45-3.67
Ba: 0.1864 0.4107 0.2243  2 Hg 3.45-3.67
Ba: 0.1864 0.9622 0.7757  2 Hg 3.45-3.67
Ba: 0.8136 0.0378 0.2243  2 Hg 3.45-3.67
Na: 0.0000 0.5000 0.5000  8 Ba 4.11-4.23
Hg: 0.6600 0.6600 0.0000  8 Ba 3.45-3.73, 1 Hg 3.83
Hg: 0.3400 0.3400 0.0000  8 Ba 3.45-3.73, 1 Hg 3.83
Hg: 0.5000 0.1271 0.6271  1 Hg 3.31, 6 Ba 3.41-3.61
Hg: 0.5000 0.8729 0.3729  1 Hg 3.31, 6 Ba 3.41-3.61
Hg: 0.0000 0.0000 0.0000  8 Ba 3.67-3.76, 2 Hg 4.06